(1)
A plane-wave DFT calculation with GGA-PBE was carried out for ZrCuSiPd2 after structural relaxation.

Formation energy from raw total energies   -0.075 eV/atom

The structure in CIF format:
```
data_ZrCuSiPd2
_chemical_formula_sum 'Zr1 Cu1 Si1 Pd2'
_symmetry_space_group_name_H-M 'P 4/m m m'
_symmetry_Int_Tables_number 123
_symmetry_space_group_name_Hall '-P 4 2'
_cell_length_a 4.537
_cell_length_b 4.537
_cell_length_c 4.334
_cell_angle_alpha 90.00
_cell_angle_beta 90.00
_cell_angle_gamma 90.00
loop_
_atom_site_label
_atom_site_fract_x
_atom_site_fract_y
_atom_site_fract_z
Zr1 0.000 0.000 0.000
Cu1 0.500 0.500 0.000
Si1 0.500 0.500 0.500
Pd1 0.000 0.500 0.500
```

=====

(2)
A plane-wave DFT calculation with GGA-PBE was carried out for SmCu2Pd after structural relaxation.

Formation energy   -1.3 eV/f.u.

The structure in CIF format:
```
data_SmCu2Pd
_chemical_formula_sum 'Sm3 Cu6 Pd3'
_symmetry_space_group_name_H-M 'R -3 m'
_symmetry_Int_Tables_number 166
_symmetry_space_group_name_Hall '-R 3 2"'
_cell_length_a 4.3471
_cell_length_b 4.3471
_cell_length_c 13.6245
_cell_angle_alpha 90.00
_cell_angle_beta 90.00
_cell_angle_gamma 120.00
loop_
_atom_site_label
_atom_site_fract_x
_atom_site_fract_y
_atom_site_fract_z
Sm1 0.0000 0.0000 0.0000
Cu1 0.0000 0.0000 0.2091
Pd1 0.0000 0.0000 0.5000
```

=====

(3)
A plane-wave DFT calculation with GGA-PBE was carried out for SmCu3Pd3 after structural relaxation.

Formation energy   5.9 eV/f.u.

The structure in CIF format:
```
data_SmCu3Pd3
_chemical_formula_sum 'Sm8 Cu24 Pd24'
_symmetry_space_group_name_H-M 'F m -3 m'
_symmetry_Int_Tables_number 225
_symmetry_space_group_name_Hall '-F 4 2 3'
_cell_length_a 11.485
_cell_length_b 11.485
_cell_length_c 11.485
_cell_angle_alpha 90.00
_cell_angle_beta 90.00
_cell_angle_gamma 90.00
loop_
_atom_site_label
_atom_site_fract_x
_atom_site_fract_y
_atom_site_fract_z
Sm1 0.250 0.250 0.250
Cu1 0.000 0.000 0.143
Pd1 0.000 0.000 0.339
```

=====

(4)
A plane-wave DFT calculation with GGA-PBE was carried out for SmCuPd6 after structural relaxation.

Formation energy   -3.1 eV/f.u.

The structure in CIF format:
```
data_SmCuPd6
_chemical_formula_sum 'Sm1 Cu1 Pd6'
_symmetry_space_group_name_H-M 'P 4/m m m'
_symmetry_Int_Tables_number 123
_symmetry_space_group_name_Hall '-P 4 2'
_cell_length_a 4.086
_cell_length_b 4.086
_cell_length_c 7.927
_cell_angle_alpha 90.00
_cell_angle_beta 90.00
_cell_angle_gamma 90.00
loop_
_atom_site_label
_atom_site_fract_x
_atom_site_fract_y
_atom_site_fract_z
Sm1 0.000 0.000 0.000
Cu1 0.000 0.000 0.500
Pd1 0.000 0.500 0.269
Pd2 0.500 0.500 0.000
Pd3 0.500 0.500 0.500
```

=====

(5)
A plane-wave DFT calculation with GGA-PBE was carried out for SmCu2Pd after structural relaxation.

Formation energy   -1.1 eV/f.u.

The structure in CIF format:
```
data_SmCu2Pd
_chemical_formula_sum 'Sm4 Cu8 Pd4'
_symmetry_space_group_name_H-M 'F m -3 m'
_symmetry_Int_Tables_number 225
_symmetry_space_group_name_Hall '-F 4 2 3'
_cell_length_a 6.558
_cell_length_b 6.558
_cell_length_c 6.558
_cell_angle_alpha 90.00
_cell_angle_beta 90.00
_cell_angle_gamma 90.00
loop_
_atom_site_label
_atom_site_fract_x
_atom_site_fract_y
_atom_site_fract_z
Sm1 0.000 0.000 0.000
Cu1 0.250 0.250 0.250
Pd1 0.000 0.000 0.500
```

=====

(6)
A plane-wave DFT calculation with GGA-PBE was carried out for SmCu5Pd7 after structural relaxation.

Formation energy   -4.2 eV/f.u.

The structure in CIF format:
```
data_SmCu5Pd7
_chemical_formula_sum 'Sm2 Cu10 Pd14'
_symmetry_space_group_name_H-M 'I m m 2'
_symmetry_Int_Tables_number 44
_cell_length_a 5.037
_cell_length_b 8.788
_cell_length_c 8.932
_cell_angle_alpha 90.00
_cell_angle_beta 90.00
_cell_angle_gamma 90.00
loop_
_symmetry_equiv_pos_as_xyz
'x,y,z'
'-x,-y,z'
'-x,y,z'
'x,-y,z'
'x+1/2,y+1/2,z+1/2'
'-x+1/2,-y+1/2,z+1/2'
'-x+1/2,y+1/2,z+1/2'
'x+1/2,-y+1/2,z+1/2'
loop_
_atom_site_label
_atom_site_fract_x
_atom_site_fract_y
_atom_site_fract_z
Sm1 0.000 0.000 0.000
Cu1 0.000 0.500 0.265
Cu2 0.249 0.254 0.246
Pd1 0.000 0.000 0.346
Pd2 0.000 0.000 0.651
Pd3 0.000 0.294 0.493
Pd4 0.000 0.345 0.998
Pd5 0.000 0.500 0.722
```

=====

(7)
A plane-wave DFT calculation with GGA-PBE was carried out for SmCu6Pd after structural relaxation.

Formation energy   0.3 eV/f.u.

The structure in CIF format:
```
data_SmCu6Pd
_chemical_formula_sum 'Sm1 Cu6 Pd1'
_symmetry_space_group_name_H-M 'P m -3'
_symmetry_Int_Tables_number 200
_symmetry_space_group_name_Hall '-P 2 2 3'
_cell_length_a 4.929
_cell_length_b 4.929
_cell_length_c 4.929
_cell_angle_alpha 90.00
_cell_angle_beta 90.00
_cell_angle_gamma 90.00
loop_
_atom_site_label
_atom_site_fract_x
_atom_site_fract_y
_atom_site_fract_z
Sm1 0.000 0.000 0.000
Cu1 0.000 0.500 0.261
Pd1 0.500 0.500 0.500
```

=====

(8)
A plane-wave DFT calculation with GGA-PBE was carried out for Sm2Cu5Pd4 after structural relaxation.

Formation energy   -4.3 eV/f.u.

The structure in CIF format:
```
data_Sm2Cu5Pd4
_chemical_formula_sum 'Sm8 Cu20 Pd16'
_symmetry_space_group_name_H-M 'F m m m'
_symmetry_Int_Tables_number 69
_symmetry_space_group_name_Hall '-F 2 2'
_cell_length_a 5.160
_cell_length_b 8.901
_cell_length_c 16.953
_cell_angle_alpha 90.00
_cell_angle_beta 90.00
_cell_angle_gamma 90.00
loop_
_atom_site_label
_atom_site_fract_x
_atom_site_fract_y
_atom_site_fract_z
Sm1 0.000 0.000 0.137
Cu1 0.000 0.000 0.500
Cu2 0.250 0.250 0.000
Cu3 0.250 0.250 0.250
Pd1 0.000 0.164 0.373
```

=====

(9)
A plane-wave DFT calculation with GGA-PBE was carried out for SmCu2Pd4 after structural relaxation.

Formation energy   -3.0 eV/f.u.

The structure in CIF format:
```
data_SmCu2Pd4
_chemical_formula_sum 'Sm2 Cu4 Pd8'
_symmetry_space_group_name_H-M 'C 1 2/m 1'
_symmetry_Int_Tables_number 12
_cell_length_a 8.515
_cell_length_b 6.605
_cell_length_c 5.211
_cell_angle_alpha 90.00
_cell_angle_beta 127.38
_cell_angle_gamma 90.00
loop_
_symmetry_equiv_pos_as_xyz
'x,y,z'
'-x,-y,-z'
'-x,y,-z'
'x,-y,z'
'x+1/2,y+1/2,z'
'-x+1/2,-y+1/2,-z'
'-x+1/2,y+1/2,-z'
'x+1/2,-y+1/2,z'
loop_
_atom_site_label
_atom_site_fract_x
_atom_site_fract_y
_atom_site_fract_z
Sm1 0.000 0.000 0.000
Cu1 0.000 0.500 0.247
Pd1 0.200 0.203 0.700
```

=====

(10)
A plane-wave DFT calculation with GGA-PBE was carried out for Sm2Cu5Pd12 after structural relaxation.

Formation energy   -6.6 eV/f.u.

The structure in CIF format:
```
data_Sm2Cu5Pd12
_chemical_formula_sum 'Sm6 Cu15 Pd36'
_symmetry_space_group_name_H-M 'R -3 m'
_symmetry_Int_Tables_number 166
_symmetry_space_group_name_Hall '-R 3 2"'
_cell_length_a 8.9856
_cell_length_b 8.9856
_cell_length_c 13.4124
_cell_angle_alpha 90.00
_cell_angle_beta 90.00
_cell_angle_gamma 120.00
loop_
_atom_site_label
_atom_site_fract_x
_atom_site_fract_y
_atom_site_fract_z
Sm1 0.0000 0.0000 0.1613
Cu1 0.0000 0.0000 0.4068
Cu2 0.0000 0.5000 0.0000
Pd1 0.0000 0.2979 0.5000
Pd2 0.0116 0.5058 0.3484
```

=====

(11)
A plane-wave DFT calculation with GGA-PBE was carried out for Sm2Cu3Pd after structural relaxation.

Formation energy   -2.4 eV/f.u.

The structure in CIF format:
```
data_Sm2Cu3Pd
_chemical_formula_sum 'Sm16 Cu24 Pd8'
_symmetry_space_group_name_H-M 'F m m m'
_symmetry_Int_Tables_number 69
_symmetry_space_group_name_Hall '-F 2 2'
_cell_length_a 7.417
_cell_length_b 8.625
_cell_length_c 14.960
_cell_angle_alpha 90.00
_cell_angle_beta 90.00
_cell_angle_gamma 90.00
loop_
_atom_site_label
_atom_site_fract_x
_atom_site_fract_y
_atom_site_fract_z
Sm1 0.249 0.000 0.000
Sm2 0.250 0.250 0.250
Cu1 0.000 0.000 0.337
Cu2 0.000 0.244 0.419
Pd1 0.000 0.000 0.167
```

=====

Q: Which total energy values were calculated for the entries above? A: -5.765 -4.848 -3.806 -5.388 -4.793 -5.060 -4.270 -4.996 -5.241 -5.204 -4.883, in eV/atom.